Entry from the Alexandria database: Tm3Te12Pd5 after structural relaxation (PBE).

Summary:
Magnetization in μB per atom: 0.000
Crystal system: cubic
Formation energy without anion corrections in meV per atom: -553
E_tot in eV/atom: -4.407

Geometry as extended XYZ:
```
80
Lattice="-2.630 14.023 -2.624 -11.624 -7.868 -3.663 2.828 -1.832 14.110" Properties=species:S:1:pos:R:3 pbc="T T T"
Tm -5.978 7.338 -1.578
Tm -10.666 6.140 -3.279
Tm -7.937 -1.787 5.088
Tm -1.050 1.835 4.177
Tm -3.047 10.829 0.774
Tm -7.544 -0.117 0.254
Tm -3.882 4.440 7.569
Tm -8.379 -6.505 7.049
Tm -10.376 2.488 3.646
Tm -3.489 6.110 2.735
Tm -0.760 -1.817 11.102
Tm -5.448 -3.014 9.401
Te -3.243 8.880 -1.774
Te -5.974 -0.381 2.968
Te -6.032 10.010 0.206
Te -3.501 5.678 -0.381
Te -7.890 1.349 5.334
Te -8.883 8.526 -2.267
Te -8.865 -2.361 2.137
Te -10.538 -6.215 -1.788
Te -10.815 -0.535 4.401
Te -8.154 5.065 -1.588
Te -6.377 6.771 1.491
Te -12.666 4.384 -4.957
Te -7.066 -4.782 4.676
Te -5.531 1.828 -1.323
Te -9.761 -6.700 1.695
Te -0.921 3.773 6.737
Te -1.606 -0.574 2.125
Te -8.757 1.018 -2.418
Te -12.029 3.878 -1.449
Te -4.942 -1.655 -0.619
Te -9.909 -3.786 6.649
Te -7.665 2.545 2.050
Te -10.512 5.270 2.183
Te -3.310 6.803 9.670
Te -3.761 1.778 5.773
Te -0.914 -0.947 5.640
Te -8.116 -2.480 -1.847
Te 0.603 0.445 9.272
Te -1.516 8.109 1.174
Te -6.484 5.978 8.442
Te -2.669 3.305 10.241
Te -10.504 0.550 1.086
Te -9.820 4.897 5.698
Te -1.665 11.023 6.128
Te -4.360 9.106 3.147
Te 1.240 -0.061 12.780
Te -5.895 2.495 9.146
Te -0.611 4.858 3.422
Te -3.272 -0.742 9.411
Te -5.048 -2.447 6.332
Te -0.888 10.539 9.611
Te -2.560 6.684 5.686
Te -7.925 -1.354 8.204
Te -2.543 -4.203 10.090
Te -3.536 2.974 2.489
Te -5.394 -5.687 7.617
Te -5.452 4.704 4.855
Te -8.183 -4.557 9.597
Pd -3.981 -1.656 1.826
Pd -5.812 -3.934 -1.831
Pd 0.000 0.000 0.000
Pd -3.539 3.063 -0.136
Pd 0.099 6.096 5.743
Pd -7.127 3.077 -3.143
Pd -7.986 -4.835 2.216
Pd -0.951 7.931 9.920
Pd -8.177 4.913 1.034
Pd -0.318 2.901 9.140
Pd -11.108 1.422 -1.317
Pd -5.713 2.162 3.912
Pd -1.315 7.011 -1.312
Pd 1.414 -0.916 7.055
Pd -3.249 -0.590 6.789
Pd -10.475 -3.608 -2.097
Pd -4.398 -4.850 5.224
Pd -3.440 9.158 5.607
Pd -7.887 1.261 7.959
Pd -7.445 5.979 5.997
```


Entry from the Alexandria database: UTePd14 after structural relaxation (PBE).

Summary:
Magnetization in μB per atom: 0.013
Crystal system: tetragonal
Formation energy without anion corrections in meV per atom: -235
E_tot in eV/atom: -5.680

Geometry as extended XYZ:
```
16
Lattice="-3.650 -1.693 -4.179 -3.901 -1.512 4.019 -3.019 7.126 -0.250" Properties=species:S:1:pos:R:3 pbc="T T T"
U -4.341 2.361 -0.185
Te -8.117 0.759 -0.264
Pd -6.607 -2.804 -0.139
Pd -2.832 -1.202 -0.060
Pd -6.167 1.514 -2.274
Pd -4.657 -2.049 -2.149
Pd -6.292 1.605 1.825
Pd -4.782 -1.958 1.950
Pd -3.523 0.531 -2.144
Pd -5.036 4.102 -2.270
Pd -3.646 0.620 1.900
Pd -5.160 4.192 1.775
Pd -5.447 -0.214 -0.161
Pd -6.960 3.356 -0.287
Pd -1.723 1.366 -0.083
Pd -3.236 4.937 -0.208
```


Entry from the Alexandria database: U2Te6Pd after structural relaxation (PBE).

Summary:
Magnetization in μB per atom: 0.251
Crystal system: tetragonal
Formation energy without anion corrections in meV per atom: -314
E_tot in eV/atom: -5.494

Geometry as extended XYZ:
```
18
Lattice="-1.595 -6.198 3.168 5.708 -3.025 -3.043 6.803 3.164 9.616" Properties=species:S:1:pos:R:3 pbc="T T T"
U 4.271 -3.581 3.193
U 6.645 -2.477 6.548
U 1.187 0.552 1.678
U 5.616 2.612 7.938
Te 3.927 -5.996 1.555
Te 8.654 -3.797 8.237
Te 6.282 -4.877 4.895
Te -0.132 -5.562 1.923
Te 2.247 -4.456 5.251
Te 4.323 -3.490 8.185
Te 6.593 -2.568 1.556
Te 8.669 -1.602 4.490
Te 4.244 -3.661 -1.798
Te 4.634 -1.181 4.845
Te 2.262 -2.261 1.504
Te 6.988 -0.062 8.186
Pd 2.056 -4.611 0.062
Pd 3.401 1.582 4.808
```


Entry from the Alexandria database: UTePd2 after structural relaxation (PBE).

Summary:
Magnetization in μB per atom: 0.665
Crystal system: tetragonal
Formation energy without anion corrections in meV per atom: -272
Distance to the lowest polymorph of the same formula in meV/atom: 62
E_tot in eV/atom: -6.476

Geometry as extended XYZ:
```
4
Lattice="4.380 0.000 0.000 0.000 4.355 0.000 0.000 0.000 4.355" Properties=species:S:1:pos:R:3 pbc="T T T"
Te 2.190 0.000 0.000
U 2.190 2.177 2.177
Pd 0.000 0.000 2.177
Pd 0.000 2.177 0.000
```


Entry from the Alexandria database: U3Te12Pd5 after structural relaxation (PBE).

Summary:
Magnetization in μB per atom: 0.297
Crystal system: cubic
Formation energy without anion corrections in meV per atom: -369
E_tot in eV/atom: -5.245

Geometry as extended XYZ:
```
80
Lattice="14.473 0.000 0.000 -4.824 13.645 0.000 -4.824 -6.822 11.817" Properties=species:S:1:pos:R:3 pbc="T T T"
U 8.442 4.264 1.477
U 8.442 9.381 1.477
U -1.206 5.970 7.386
U 1.206 -0.853 4.431
U 10.854 0.000 2.954
U 1.206 6.822 2.954
U 3.618 0.000 8.863
U -6.030 6.822 8.863
U 3.618 7.675 7.386
U 6.030 0.853 4.431
U -3.618 -2.558 10.340
U -3.618 2.558 10.340
Pd -1.206 3.411 2.954
Pd -2.412 6.822 0.000
Pd 0.000 0.000 0.000
Pd 3.618 2.558 1.477
Pd 4.824 -3.411 5.908
Pd 4.824 6.822 0.000
Pd -3.618 7.675 4.431
Pd 6.030 -4.264 10.340
Pd 6.030 5.970 4.431
Pd 1.206 -3.411 8.863
Pd 3.618 10.234 2.954
Pd 2.412 3.411 5.908
Pd 7.236 0.000 0.000
Pd -2.412 -3.411 5.908
Pd -1.206 0.853 7.386
Pd -1.206 11.086 1.477
Pd -4.824 3.411 5.908
Pd 8.442 -0.853 7.386
Pd 1.206 4.264 10.340
Pd 6.030 3.411 8.863
Te 9.507 1.440 0.474
Te 0.142 4.542 4.899
Te 10.697 3.145 3.402
Te 6.188 2.037 1.484
Te 1.811 5.132 7.941
Te 10.238 6.815 2.032
Te -1.048 7.930 4.886
Te -3.776 11.607 1.484
Te 0.601 8.513 7.941
Te 6.647 6.830 2.032
Te 7.378 3.721 4.424
Te 7.378 12.205 0.474
Te -4.224 6.032 6.383
Te 3.002 5.066 1.023
Te -4.966 9.924 4.424
Te 2.554 -2.281 6.918
Te -0.601 0.900 2.507
Te 3.002 8.586 1.010
Te 6.188 10.500 3.402
Te -0.589 5.059 1.010
Te -3.013 7.722 9.310
Te 3.461 5.715 4.886
Te 6.636 7.613 6.383
Te 5.414 -1.756 10.794
Te 1.364 1.107 6.931
Te -1.811 -0.791 5.434
Te -0.589 8.579 1.023
Te -1.364 -3.678 8.415
Te 7.837 -0.900 2.507
Te 5.414 1.764 10.807
Te 1.823 -1.764 10.807
Te 2.270 9.103 4.899
Te 5.425 5.923 9.310
Te 9.790 -3.102 7.392
Te 9.048 0.791 5.434
Te -2.554 -5.383 11.343
Te 1.823 1.756 10.794
Te 4.224 -1.690 3.876
Te -1.823 -0.007 9.784
Te -2.554 3.102 7.392
Te 8.600 -4.785 10.333
Te 5.873 -1.107 6.931
Te -1.364 4.785 10.333
Te -5.414 0.007 9.784
Te 3.013 1.690 3.876
Te -5.873 3.678 8.415
Te 4.683 2.281 6.918
Te -4.683 5.383 11.343
```


Entry from the Alexandria database: U2TePd9 after structural relaxation (PBE).

Summary:
Magnetization in μB per atom: 0.274
Crystal system: tetragonal
Formation energy without anion corrections in meV per atom: -432
E_tot in eV/atom: -6.470

Geometry as extended XYZ:
```
12
Lattice="4.143 0.000 0.000 0.000 4.143 0.000 0.000 0.000 12.339" Properties=species:S:1:pos:R:3 pbc="T T T"
U 0.000 0.000 4.060
U 0.000 0.000 8.279
Te 0.000 0.000 0.000
Pd 2.071 2.071 0.000
Pd 2.071 2.071 4.154
Pd 2.071 2.071 8.185
Pd 2.071 0.000 2.159
Pd 2.071 0.000 6.170
Pd 2.071 0.000 10.180
Pd 0.000 2.071 2.159
Pd 0.000 2.071 6.170
Pd 0.000 2.071 10.180
```


Entry from the Alexandria database: UTe12Pd7 after structural relaxation (PBE).

Summary:
Magnetization in μB per atom: 0.066
Crystal system: trigonal
Formation energy without anion corrections in meV per atom: -303
E_tot in eV/atom: -4.570

Geometry as extended XYZ:
```
20
Lattice="8.591 0.101 0.152 -2.292 8.281 0.152 -2.292 -3.049 7.700" Properties=species:S:1:pos:R:3 pbc="T T T"
U 0.000 0.000 0.000
Te 5.745 0.121 6.205
Te 5.490 1.745 0.491
Te 2.627 0.216 3.007
Te 4.531 3.553 4.462
Te 0.150 -1.765 5.503
Te 2.153 2.061 6.647
Te 1.856 3.272 1.357
Te 3.858 7.097 2.501
Te -0.523 1.780 3.542
Te 1.381 5.117 4.997
Te -1.482 3.588 7.513
Te -1.737 5.212 1.800
Pd 4.675 2.755 7.007
Pd 2.662 0.891 0.454
Pd 0.116 -0.661 2.763
Pd 2.004 2.666 4.002
Pd 3.892 5.994 5.241
Pd 1.346 4.442 7.550
Pd -0.667 2.578 0.997
```


Entry from the Alexandria database: U2Te5Pd after structural relaxation (PBE).

Summary:
Magnetization in μB per atom: 0.542
Crystal system: orthorhombic
Formation energy without anion corrections in meV per atom: -378
E_tot in eV/atom: -5.812

Geometry as extended XYZ:
```
16
Lattice="-1.244 -4.447 -3.904 6.461 -0.735 3.462 -6.038 -6.914 9.801" Properties=species:S:1:pos:R:3 pbc="T T T"
U 0.684 -7.143 3.237
U 2.821 -4.696 -0.232
U -1.504 -4.953 6.122
U -3.641 -7.400 9.591
Te -0.714 -10.970 8.042
Te 0.876 -9.149 5.461
Te 1.464 -4.870 5.082
Te 3.444 -2.603 1.868
Te 0.109 -5.087 1.078
Te -0.929 -7.009 8.281
Te -2.284 -7.226 4.277
Te -4.264 -9.493 7.491
Te -0.106 -1.126 1.317
Te -1.696 -2.947 3.898
Pd -1.712 -9.151 6.288
Pd 0.892 -2.945 3.071
```


Entry from the Alexandria database: U2Te4Pd after structural relaxation (PBE).

Summary:
Magnetization in μB per atom: 0.582
Crystal system: monoclinic
Formation energy without anion corrections in meV per atom: -529
E_tot in eV/atom: -6.291

Geometry as extended XYZ:
```
7
Lattice="4.205 0.000 0.000 0.000 7.230 -0.028 -2.102 -3.554 6.888" Properties=species:S:1:pos:R:3 pbc="T T T"
U 2.102 3.673 3.400
U 0.000 0.003 3.460
Te 2.102 -1.176 5.323
Te 0.000 4.852 1.536
Te 2.102 1.203 1.594
Te 0.000 2.473 5.266
Pd 0.000 0.000 0.000
```


Entry from the Alexandria database: UTePd2 after structural relaxation (PBE).

Summary:
Magnetization in μB per atom: 0.511
Crystal system: cubic
Formation energy without anion corrections in meV per atom: -335
Distance to the lowest polymorph of the same formula in meV/atom: 0
E_tot in eV/atom: -6.538

Geometry as extended XYZ:
```
4
Lattice="-2.769 -0.748 -3.932 -0.297 -4.446 -1.957 -4.126 -2.556 0.380" Properties=species:S:1:pos:R:3 pbc="T T T"
Te -3.596 -3.875 -2.755
U 0.000 0.000 0.000
Pd -5.393 -5.812 -4.133
Pd -1.799 -1.938 -1.377
```


Entry from the Alexandria database: U2Te5Pd4 after structural relaxation (PBE).

Summary:
Magnetization in μB per atom: 0.444
Crystal system: monoclinic
Formation energy without anion corrections in meV per atom: -334
E_tot in eV/atom: -5.703

Geometry as extended XYZ:
```
11
Lattice="-3.036 2.324 1.420 -3.326 -5.132 1.289 5.262 -2.864 10.076" Properties=species:S:1:pos:R:3 pbc="T T T"
U -2.304 -5.122 3.458
U 1.204 -0.549 9.328
Te -0.848 -4.808 6.056
Te -0.252 -0.863 6.729
Te -0.612 -2.604 2.954
Te -1.518 1.162 0.710
Te -0.488 -3.067 9.832
Pd -2.248 -2.555 5.233
Pd -2.360 -3.652 0.933
Pd 1.148 -3.116 7.553
Pd 1.260 -2.020 11.853
```


Entry from the Alexandria database: VTe4Pd2 after structural relaxation (PBE).

Summary:
Magnetization in μB per atom: 0.229
Crystal system: monoclinic
Formation energy without anion corrections in meV per atom: -316
Distance to the lowest polymorph of the same formula in meV/atom: 0
E_tot in eV/atom: -4.898

Geometry as extended XYZ:
```
7
Lattice="4.088 0.000 0.000 0.000 7.116 -0.165 -2.044 -3.634 5.758" Properties=species:S:1:pos:R:3 pbc="T T T"
V 0.000 0.000 0.000
Te 2.044 -1.250 4.411
Te 0.000 4.732 1.182
Te 2.044 1.165 1.385
Te 0.000 2.317 4.209
Pd 2.044 3.677 2.644
Pd 0.000 -0.195 2.950
```


Number 1: DOS(E_F) 40.8 states/eV per cell. Number 2: DOS(E_F) 15.2 states/eV per cell. Number 3: DOS(E_F) 26.1 states/eV per cell. Number 4: DOS(E_F) 4.8 states/eV per cell. Number 5: DOS(E_F) 101.4 states/eV per cell. Number 6: DOS(E_F) 19.0 states/eV per cell. Number 7: DOS(E_F) 9.8 states/eV per cell. Number 8: DOS(E_F) 29.2 states/eV per cell. Number 9: DOS(E_F) 11.7 states/eV per cell. Number 10: DOS(E_F) 5.7 states/eV per cell. Number 11: DOS(E_F) 16.7 states/eV per cell. Number 12: DOS(E_F) 5.7 states/eV per cell.